VASP calculation (meta-GGA SCAN) on a PBEsol-optimized structure of SrBi2Pt.

abc: 6.149 6.816 6.816
angles: 78.26 63.19 63.19
Sites, in units of the cell vectors:
Sr  0.500  0.000  0.000
Sr  0.250  0.500  0.500
Bi  0.694  0.931  0.431
Bi  0.056  0.069  0.569
Bi  0.375  0.569  0.931
Bi  0.875  0.431  0.069
Pt  0.750  0.500  0.500
Pt  0.000  0.000  0.000

Values from the calculation:
Formation energy   -596 meV/atom
Theoretical density   10.2 g cm⁻³
Crystal system   tetragonal
V   113.77 Å³/f.u.
Size of the total moment   0.00 Bohr magnetons per cell

***

VASP calculation (meta-GGA SCAN) on a PBEsol-optimized structure of Re2OsBr.

abc: 2.860 4.582 4.582
angles: 90.00 90.00 90.00
Sites, in units of the cell vectors:
Br  0.500  0.500  0.500
Re  0.000  0.000  0.500
Re  0.000  0.500  0.000
Os  0.500  0.000  0.000

Values from the calculation:
Theoretical density   17.8 g cm⁻³
Crystal system   tetragonal
V   60.05 Å³/f.u.
Size of the total moment   0.00 Bohr magnetons per cell
Uncorrected formation energy   1.33 eV/atom

***

VASP calculation (meta-GGA SCAN) on a PBEsol-optimized structure of CrHgPb.

abc: 4.708 4.708 4.708
angles: 60.00 60.00 60.00
Last column: magnetic moment on the atom in μB.
Sites, in units of the cell vectors:
Pb  0.000  0.000  0.000  -0.09
Cr  0.500  0.500  0.500  4.07
Hg  0.250  0.250  0.250  -0.01

Values from the calculation:
Formation energy   257 meV/atom
Theoretical density   10.4 g cm⁻³
Crystal system   cubic
V   73.77 Å³/f.u.
Size of the total moment   4.23 Bohr magnetons per cell
Offset from the most stable computed form   36 meV per atom

***

VASP calculation (meta-GGA SCAN) on a PBEsol-optimized structure of Li6CrO6.

abc: 5.596 5.626 10.294
angles: 90.49 90.00 119.83
Sites, in units of the cell vectors:
O  0.704  0.358  0.266
O  0.283  0.008  0.048
O  0.654  0.358  0.766
O  0.354  0.660  0.766
O  0.999  0.982  0.336
O  0.983  0.982  0.836
O  0.005  0.721  0.546
O  0.281  0.281  0.547
O  0.725  0.008  0.548
O  0.000  0.281  0.047
O  0.305  0.660  0.266
O  0.716  0.721  0.046
Cr  0.001  0.002  0.998
Cr  0.001  0.002  0.498
Li  0.291  0.297  0.743
Li  0.670  0.345  0.586
Li  0.006  0.297  0.243
Li  0.604  0.624  0.271
Li  0.620  0.624  0.850
Li  0.614  0.025  0.780
Li  0.675  0.345  0.086
Li  0.319  0.676  0.086
Li  0.004  0.624  0.350
Li  0.358  0.676  0.586
Li  0.020  0.624  0.771
Li  0.411  0.025  0.280

Values from the calculation:
Theoretical density   2.2 g cm⁻³
Crystal system   monoclinic
V   140.55 Å³/f.u.
Size of the total moment   0.00 Bohr magnetons per cell
Uncorrected formation energy   -2.02 eV/atom

***

VASP calculation (meta-GGA SCAN) on a PBEsol-optimized structure of Lu2ReC2.

abc: 4.913 6.402 9.552
angles: 90.00 90.00 90.00
Sites, in units of the cell vectors:
Lu  0.750  0.037  0.283
Lu  0.750  0.174  0.941
Lu  0.250  0.963  0.717
Lu  0.250  0.826  0.059
Lu  0.750  0.537  0.217
Lu  0.750  0.674  0.559
Lu  0.250  0.326  0.441
Lu  0.250  0.463  0.783
C  0.750  0.443  0.759
C  0.750  0.831  0.058
C  0.250  0.557  0.241
C  0.250  0.669  0.558
C  0.250  0.057  0.259
C  0.750  0.943  0.741
C  0.250  0.169  0.942
C  0.750  0.331  0.442
Re  0.250  0.289  0.128
Re  0.250  0.789  0.372
Re  0.750  0.711  0.872
Re  0.750  0.211  0.628

Values from the calculation:
Formation energy   -589 meV/atom
Theoretical density   12.4 g cm⁻³
Crystal system   orthorhombic
V   75.10 Å³/f.u.
Size of the total moment   0.00 Bohr magnetons per cell

***

VASP calculation (meta-GGA SCAN) on a PBEsol-optimized structure of BiSb2Pd2.

abc: 3.175 8.255 8.255
angles: 90.00 90.00 90.00
Sites, in units of the cell vectors:
Sb  0.000  0.844  0.656
Sb  0.000  0.656  0.156
Sb  0.000  0.156  0.344
Sb  0.000  0.344  0.844
Bi  0.000  0.000  0.000
Bi  0.000  0.500  0.500
Pd  0.500  0.125  0.625
Pd  0.500  0.875  0.375
Pd  0.500  0.625  0.875
Pd  0.500  0.375  0.125

Values from the calculation:
Theoretical density   10.2 g cm⁻³
Crystal system   tetragonal
V   108.17 Å³/f.u.
Size of the total moment   0.00 Bohr magnetons per cell
Uncorrected formation energy   -0.05 eV/atom